# 1
A relaxed structure of ScCdInNi. Source: the Open Quantum Materials Database, functional GGA-PBE.

## Properties
E: -4.08 eV per atom
spin magnetization: 0.000 μB per atom

Unit cell a=6.620 b=6.620 c=6.620 alpha=90.00 beta=90.00 gamma=90.00
Space group F-43m (No. 216)
One atom of each set of equivalent atoms:
Sc 0.000 0.000 0.000 [4 per cell]
Cd 0.250 0.250 0.750 [4 per cell]
In 0.250 0.250 0.250 [4 per cell]
Ni 0.000 0.000 0.500 [4 per cell]


# 2
A relaxed structure of DyYGeCl2. Source: the Open Quantum Materials Database, functional GGA-PBE.

## Properties
E: -5.52 eV per atom
spin magnetization: 0.000 μB per atom

Unit cell a=4.0764 b=4.0764 c=9.6481 alpha=90.00 beta=90.00 gamma=120.00
Space group P3m1 (No. 156)
One atom of each set of equivalent atoms:
Dy 0.0000 0.0000 0.0000 [1 per cell]
Y 0.6667 0.3333 0.3359 [1 per cell]
Ge 0.3333 0.6667 0.1670 [1 per cell]
Cl 0.0000 0.0000 0.4987 [1 per cell]
Cl 0.6667 0.3333 0.8389 [1 per cell]


# 3
A relaxed structure of TcS. Source: the Open Quantum Materials Database, functional GGA-PBE.

## Properties
E: -6.90 eV per atom
spin magnetization: 0.860 μB per atom

Unit cell a=4.970 b=4.970 c=4.970 alpha=90.00 beta=90.00 gamma=90.00
Space group Fm-3m (No. 225)
One atom of each set of equivalent atoms:
Tc 0.000 0.000 0.000 [4 per cell]
S 0.000 0.000 0.500 [4 per cell]


# 4
A relaxed structure of Co4BiI2. Source: the Open Quantum Materials Database, functional GGA-PBE.

## Properties
E: -4.16 eV per atom
spin magnetization: 0.807 μB per atom

Unit cell a=6.445 b=6.445 c=6.039 alpha=90.00 beta=90.00 gamma=90.00
Space group I4/mmm (No. 139)
One atom of each set of equivalent atoms:
Co 0.180 0.180 0.000 [8 per cell]
Bi 0.000 0.000 0.500 [2 per cell]
I 0.000 0.500 0.250 [4 per cell]


Calculated values (Å³ per cell) of calculated volume for the records, taken in order: 290.1, 138.8, 122.7, 250.8.